Entry 1:
Compound: PrReTc
Source: Alexandria via LeMat-Bulk
Functional: GGA-PBE
Structure: optimized geometry

Properties
Density of states at the Fermi level: 1.124 states/eV/atom
Crystal system: trigonal
Formation energy from the elements: 24 kJ/mol of formula units

Unit cell a=5.5937 b=5.5937 c=39.3125 alpha=90.00 beta=90.00 gamma=120.00
Space group R-3m (No. 166, hexagonal axes)
Unique sites:
Pr1 0.0000 0.0000 0.0422 x6
Pr2 0.0000 0.0000 0.1805 x6
Pr3 0.0000 0.0000 0.2631 x6
Re1 0.0000 0.0000 0.3902 x6
Re2 0.0000 0.0000 0.5000 x3
Re3 0.0000 0.5000 0.0000 x9
Tc1 0.0056 0.5028 0.7781 x18

***

Entry 2:
Compound: CaTeO3
Source: Alexandria via LeMat-Bulk
Functional: GGA-PBE
Structure: optimized geometry

Properties
Density of states at the Fermi level: 0.000 states/eV/atom
Crystal system: triclinic
Raw formation energy: -1.96 eV per atom

Unit cell a=5.761 b=8.524 c=11.262 alpha=69.50 beta=88.94 gamma=85.49
Space group P1 (No. 1)
Unique sites:
Ca1 0.000 0.000 0.000 x1
Ca2 0.001 0.507 0.511 x1
Ca3 0.036 0.548 0.174 x1
Ca4 0.455 0.262 0.075 x1
Ca5 0.504 0.320 0.718 x1
Ca6 0.563 0.786 0.252 x1
Te1 0.031 0.971 0.303 x1
Te2 0.467 0.733 0.612 x1
Te3 0.529 0.765 0.948 x1
Te4 0.559 0.289 0.396 x1
Te5 0.972 0.414 0.882 x1
Te6 0.991 0.021 0.652 x1
O1 0.056 0.390 0.050 x1
O2 0.220 0.243 0.881 x1
O3 0.242 0.567 0.653 x1
O4 0.256 0.010 0.172 x1
O5 0.284 0.752 0.066 x1
O6 0.346 0.337 0.512 x1
O7 0.354 0.352 0.254 x1
O8 0.419 0.820 0.434 x1
O9 0.578 0.542 0.955 x1
O10 0.707 0.561 0.632 x1
O11 0.733 0.485 0.340 x1
O12 0.743 0.251 0.910 x1
O13 0.755 0.769 0.068 x1
O14 0.768 0.042 0.190 x1
O15 0.791 0.924 0.572 x1
O16 0.832 0.238 0.612 x1
O17 0.913 0.925 0.824 x1
O18 0.994 0.743 0.324 x1